Below is a relaxed structure of TlPtW2F, with properties calculated at the GGA+U level.

Geometry as CIF:
```
data_TlPtW2F
_cell_length_a 4.3275
_cell_length_b 4.9478
_cell_length_c 4.3275
_cell_angle_alpha 90.00
_cell_angle_beta 90.00
_cell_angle_gamma 90.00
_space_group_name_H-M_alt 'P 1'
_space_group_IT_number 1
_space_group_name_Hall 'P 1'
loop_
_atom_site_label
_atom_site_fract_x
_atom_site_fract_y
_atom_site_fract_z
F1 0.0000 0.0000 0.0000
Tl1 0.0000 0.5000 0.0000
Pt1 0.5000 0.5000 0.5000
W1 0.0000 0.0000 0.5000
W2 0.5000 0.0000 0.0000
```

Calculated values
Its total energy is -21.05 eV per formula unit.